The following is a GGA-PBE calculation of an optimized crystal structure of PrYNi8B2, from OQMD via LeMat-Bulk.

```
12
Lattice="2.528 -4.378 0.000 2.528 4.378 0.000 0.000 0.000 6.986" Properties=species:S:1:pos:R:3 pbc="T T T"
B 2.528 -1.459 0.000
B 2.528 1.459 0.000
Ni 1.264 -2.189 1.459
Ni 1.264 2.189 1.459
Ni 2.528 0.000 1.459
Ni 2.528 -1.459 3.493
Ni 2.528 1.459 3.493
Ni 2.528 0.000 5.527
Ni 1.264 -2.189 5.527
Ni 1.264 2.189 5.527
Pr 0.000 0.000 0.000
Y 0.000 0.000 3.493
```

Output
SG	P6/mmm
ΔE to the lowest computed polymorph	0.43	eV per formula unit
size of the total moment	0.003	Bohr magnetons per cell

The following is a GGA-PBE calculation of an optimized crystal structure of TaCo2Ge, from OQMD via LeMat-Bulk.

```
4
Lattice="3.717 1.997 -0.110 0.523 3.604 2.133 2.453 0.083 3.434" Properties=species:S:1:pos:R:3 pbc="T T T"
Co 0.000 0.000 0.000
Co 5.021 4.263 4.093
Ge 3.347 2.842 2.729
Ta 1.674 1.421 1.364
```

Output
SG	F-43m
final energy	-7.644	eV/atom
size of the total moment	0.635	Bohr magnetons per cell

The following is a GGA-PBE calculation of an optimized crystal structure of PuCoGe, from OQMD via LeMat-Bulk.

```
3
Lattice="0.000 3.091 3.091 3.091 0.000 3.091 3.091 3.091 0.000" Properties=species:S:1:pos:R:3 pbc="T T T"
Co 0.000 0.000 0.000
Ge 3.091 3.091 3.091
Pu 1.546 1.546 1.546
```

Output
SG	F-43m
final energy	-7.584	eV/atom
size of the total moment	0.461	Bohr magnetons per cell

The following is a GGA-PBE calculation of an optimized crystal structure of SiMo4AuN2, from OQMD via LeMat-Bulk.

```
8
Lattice="2.911 0.000 0.000 -1.456 2.521 0.000 0.000 0.000 14.216" Properties=species:S:1:pos:R:3 pbc="T T T"
Au 0.000 0.000 0.000
Mo 1.456 0.840 2.421
Mo 0.000 0.000 5.141
Mo 0.000 0.000 9.076
Mo 1.456 0.840 11.795
N 0.000 1.681 3.749
N 0.000 1.681 10.467
Si 1.456 0.840 7.108
```

Output
SG	P-6m2
final energy	-8.625	eV/atom
size of the total moment	0.008	Bohr magnetons per cell

The following is a GGA-PBE calculation of an optimized crystal structure of BiOs, from OQMD via LeMat-Bulk.

```
2
Lattice="0.000 2.792 2.792 2.792 0.000 2.792 2.792 2.792 0.000" Properties=species:S:1:pos:R:3 pbc="T T T"
Bi 0.000 0.000 0.000
Os 2.792 2.792 2.792
```

Output
SG	Fm-3m
ΔE to the lowest computed polymorph	1.51	eV per formula unit
size of the total moment	0.091	Bohr magnetons per cell

The following is a GGA-PBE calculation of an optimized crystal structure of Nb8Cu2C3N3, from OQMD via LeMat-Bulk.

```
16
Lattice="-0.250 -2.424 -2.024 2.778 0.625 1.387 -5.625 -14.147 17.637" Properties=species:S:1:pos:R:3 pbc="T T T"
C 0.000 0.000 0.000
C 0.119 -3.017 1.120
C -3.216 -12.929 15.880
Cu 0.343 -3.977 4.720
Cu -3.440 -11.969 12.280
N -1.422 -6.893 5.952
N -2.813 -7.074 8.819
N -1.675 -9.053 11.049
Nb 1.446 -1.203 1.262
Nb -0.922 -2.318 2.890
Nb -1.923 -4.837 6.030
Nb -0.714 -6.634 8.033
Nb -2.383 -9.312 8.967
Nb -3.702 -9.311 11.607
Nb -4.703 -11.829 14.747
Nb -4.543 -14.743 15.739
```

Output
SG	P-3m1
final energy	-9.299	eV/atom
size of the total moment	0.003	Bohr magnetons per cell

The following is a GGA-PBE calculation of an optimized crystal structure of NaSmCoTe3, from OQMD via LeMat-Bulk.

```
24
Lattice="-3.857 -3.446 10.929 3.089 -3.036 0.133 7.957 8.336 5.436" Properties=species:S:1:pos:R:3 pbc="T T T"
Co 1.494 0.148 3.945
Co 0.156 -0.957 9.813
Co 7.033 2.812 6.686
Co 5.694 1.707 12.554
Na 1.191 -3.272 3.528
Na 3.106 -0.968 11.619
Na 4.083 2.823 4.880
Na 5.998 5.128 12.971
Sm 0.073 -4.049 11.748
Sm 2.971 -1.310 6.946
Sm 4.217 3.165 9.553
Sm 7.115 5.904 4.751
Te 0.858 -0.604 1.577
Te 0.137 -1.158 5.662
Te 1.104 -3.124 8.901
Te 3.960 -0.430 4.070
Te 0.009 -0.994 12.357
Te 1.892 0.777 9.065
Te 5.297 1.078 7.433
Te 7.180 2.850 4.142
Te 3.228 2.285 12.429
Te 6.084 4.980 7.598
Te 7.051 3.013 10.837
Te 6.331 2.459 14.922
```

Output
SG	Pnma
ΔE to the lowest computed polymorph	0.25	eV per formula unit
size of the total moment	8.220	Bohr magnetons per cell

The following is a GGA-PBE calculation of an optimized crystal structure of ThTl, from OQMD via LeMat-Bulk.

```
24
Lattice="10.944 0.000 0.000 0.000 9.995 0.000 0.000 0.000 6.562" Properties=species:S:1:pos:R:3 pbc="T T T"
Th 6.687 2.499 0.000
Th 4.256 7.497 0.000
Th 3.479 3.709 1.641
Th 9.687 4.625 1.641
Th 7.465 8.707 1.641
Th 1.256 9.623 1.641
Th 6.687 2.499 3.281
Th 4.256 7.497 3.281
Th 9.687 0.373 4.922
Th 3.479 1.288 4.922
Th 1.256 5.370 4.922
Th 7.465 6.286 4.922
Tl 0.889 2.499 0.000
Tl 10.055 7.497 0.000
Tl 4.439 0.519 1.641
Tl 9.340 1.262 1.641
Tl 6.504 5.517 1.641
Tl 1.603 6.260 1.641
Tl 0.889 2.499 3.281
Tl 10.055 7.497 3.281
Tl 9.340 3.736 4.922
Tl 4.439 4.479 4.922
Tl 1.603 8.733 4.922
Tl 6.504 9.477 4.922
```

Output
SG	Pbcm
final energy	-5.041	eV/atom
size of the total moment	0.003	Bohr magnetons per cell

The following is a GGA-PBE calculation of an optimized crystal structure of RbAgSe2, from OQMD via LeMat-Bulk.

```
16
Lattice="-0.452 -12.363 -3.670 -5.227 -9.262 2.129 -0.693 -2.319 -7.758" Properties=species:S:1:pos:R:3 pbc="T T T"
Ag 0.000 0.000 0.000
Ag -1.593 -5.986 -2.325
Ag -3.186 -11.972 -4.649
Ag -4.779 -17.958 -6.974
Rb -4.120 -15.588 -3.485
Rb -5.713 -21.574 -5.810
Rb -2.252 -8.356 -5.814
Rb -3.845 -14.342 -8.139
Se -5.452 -17.479 -0.862
Se -1.819 -10.132 -3.004
Se -1.605 -14.233 -5.239
Se -4.146 -18.960 -4.413
Se -5.501 -12.553 -3.145
Se -2.012 -5.015 -4.809
Se -3.819 -10.970 -7.210
Se -1.133 -6.434 -8.513
```

Output
SG	Fddd
final energy	-3.131	eV/atom

The following is a GGA-PBE calculation of an optimized crystal structure of SmSnBi, from OQMD via LeMat-Bulk.

```
3
Lattice="0.000 3.736 3.736 3.736 0.000 3.736 3.736 3.736 0.000" Properties=species:S:1:pos:R:3 pbc="T T T"
Bi 1.868 1.868 1.868
Sm 0.000 0.000 0.000
Sn 5.604 5.604 5.604
```

Output
SG	F-43m
ΔE to the lowest computed polymorph	0.00	eV per formula unit
size of the total moment	0.001	Bohr magnetons per cell

The following is a GGA-PBE calculation of an optimized crystal structure of Sr2MgOsN6, from OQMD via LeMat-Bulk.

```
10
Lattice="3.648 -3.362 2.771 -2.347 1.523 4.946 -3.244 -2.134 -4.149" Properties=species:S:1:pos:R:3 pbc="T T T"
Mg 0.000 0.000 0.000
N 0.336 -0.475 1.995
N 0.964 -1.364 5.722
N 2.086 -2.114 3.331
N -0.617 -2.383 3.723
N -1.327 -1.589 -0.155
N -4.030 -1.859 0.236
Os 0.650 -0.920 3.858
Sr 0.527 -3.208 1.240
Sr -2.470 -0.765 2.328
```

Output
SG	I4/m
ΔE to the lowest computed polymorph	0.00	eV per formula unit
size of the total moment	2.698	Bohr magnetons per cell

The following is a GGA-PBE calculation of an optimized crystal structure of TaCdAsO, from OQMD via LeMat-Bulk.

```
8
Lattice="-1.713 1.278 3.115 6.284 -3.287 4.804 2.586 4.390 -0.380" Properties=species:S:1:pos:R:3 pbc="T T T"
As 6.217 -0.861 3.772
As 3.513 3.424 0.526
Cd 1.770 -0.733 3.565
Cd 4.095 0.922 4.164
O 1.268 1.935 2.194
O 6.764 1.931 5.217
Ta 1.800 1.460 0.390
Ta 7.941 1.119 3.907
```

Output
SG	Pmc2_1
ΔE to the lowest computed polymorph	0.00	eV per formula unit
size of the total moment	0.027	Bohr magnetons per cell

| no. | calculated density (g/cm³) |
| --- | --- |
| 1 | 7.74 |
| 2 | 11.60 |
| 3 | 10.55 |
| 4 | 10.14 |
| 5 | 15.24 |
| 6 | 7.78 |
| 7 | 6.12 |
| 8 | 12.11 |
| 9 | 5.03 |
| 10 | 7.61 |
| 11 | 6.07 |
| 12 | 7.72 |